1.
LaMo3W | PBE | optimized geometry

Total moment (μB/f.u.): 2.90
Relative energy among the computed polymorphs (eV/atom): 0.000

abc: 4.8801 4.8801 4.8801
angles: 90.00 90.00 90.00
Space group Pm-3m (No. 221)
Symmetry-distinct sites (fractional):
La 0.0000 0.0000 0.0000 x1
Mo 0.0000 0.5000 0.5000 x3
W 0.5000 0.5000 0.5000 x1

2.
LaMoW2 | PBE | optimized geometry

Total moment (μB/f.u.): 0.00
Relative energy among the computed polymorphs (eV/atom): 0.431

abc: 4.8021 4.8021 3.2467
angles: 90.00 90.00 90.00
Space group P4/mmm (No. 123)
Symmetry-distinct sites (fractional):
La 0.0000 0.0000 0.0000 x1
Mo 0.5000 0.5000 0.0000 x1
W 0.0000 0.5000 0.5000 x2

ΔE_f? In order: 1.180; 0.872 eV per atom.